Record 1
The following is a GGA-PBE calculation of a relaxed structure of Hf3AlZn2PdPt2, from OQMD via LeMat-Bulk.

The structure in extended XYZ format:
```
9
Lattice="3.5102 0.0000 0.0000 0.0000 6.2548 3.5624 0.0000 -6.2548 3.5624" Properties=species:S:1:pos:R:3 pbc="T T T"
Pt 0.0000 2.0420 3.5318
Pt 0.0000 -2.0420 3.5318
Zn 0.0000 -4.5887 2.6387
Hf 1.7551 3.6952 4.9817
Zn 0.0000 4.5887 2.6387
Pd 1.7551 0.0000 0.0487
Al 0.0000 0.0000 1.8401
Hf 1.7551 0.0000 4.3059
Hf 1.7551 -3.6952 4.9817
```

Spin magnetization: 0.0 μB per formula unit
V: 17.38 A^3/atom

Record 2
The following is a GGA-PBE calculation of a relaxed structure of Er3In3CuIrPd, from OQMD via LeMat-Bulk.

The structure in extended XYZ format:
```
9
Lattice="-2.8799 -2.1137 -6.7207 7.5168 -0.2518 1.1680 -0.3151 -3.5706 1.2579" Properties=species:S:1:pos:R:3 pbc="T T T"
In 6.6080 -2.5680 0.1017
In 1.7503 -1.8570 0.9032
Er 1.5340 -2.2277 -5.9390
Pd 3.8937 -2.6577 -0.8326
Ir 0.4282 -3.2783 -3.4622
In 3.3228 -3.5480 -3.5028
Er 1.8263 -0.9864 -2.3425
Er -1.6033 -1.2650 -3.9920
Cu 0.0000 0.0000 0.0000
```

Spin magnetization: 0.0 μB per formula unit
V: 21.18 A^3/atom

Record 3
The following is a GGA-PBE calculation of a relaxed structure of Zr4Ni3W2N3, from OQMD via LeMat-Bulk.

The structure in extended XYZ format:
```
24
Lattice="-3.3930 4.3192 -0.8001 -3.4712 0.1469 -4.3287 -6.6831 -7.3166 8.7994" Properties=species:S:1:pos:R:3 pbc="T T T"
N -2.8679 2.8550 -1.2724
Zr -12.1425 -2.2838 3.7420
N -6.2471 -2.8145 1.4264
Ni -3.7269 -0.0122 1.0247
W -4.1339 0.7135 -1.3876
Zr -1.4048 -0.5667 -0.0714
Ni -6.4617 1.7347 -0.9803
Zr -7.5800 -5.2926 7.1009
W -7.4637 -2.3182 3.5419
Zr -4.7321 -3.4633 4.9725
N -5.0381 -1.4987 3.9996
W -6.0837 -0.5323 0.1286
Zr -5.9673 2.4421 -3.4303
N -1.7356 0.0734 -2.1644
N -10.6794 -5.7055 4.9430
Zr -9.2964 -0.5509 1.5321
Ni -8.4075 -1.2845 5.7011
Ni -7.0856 -4.5852 4.6509
Zr -4.2509 -2.2996 2.1385
Ni -5.1398 -1.5660 -2.0306
W -9.4134 -3.5641 5.0582
Zr -8.8152 0.6127 -1.3020
N -7.3002 -0.0360 2.2442
Ni -9.8204 -2.8383 2.6458
```

Spin magnetization: 0.0 μB per formula unit
V: 14.12 A^3/atom

| no. | VASP energy (eV per atom) |
| --- | --- |
| 1 | -6.76 |
| 2 | -5.09 |
| 3 | -8.90 |